Computed, not measured: a geometry-optimized YPaNiPd structure at the PBE level of DFT. Values from VASP.

Values from the calculation:
Magnetization (μB/atom): 0.120
Symmetry: No. 216
Energy relative to the elements (eV per atom): -0.338

Cell and atoms, written as Quantum ESPRESSO input:
```
&SYSTEM
  ibrav = 0, nat = 4, ntyp = 4
/
ATOMIC_SPECIES
Ni 58.69 Ni.upf
Pa 231.04 Pa.upf
Pd 106.42 Pd.upf
Y 88.91 Y.upf
CELL_PARAMETERS angstrom
4.894 0.000 0.000
2.447 4.238 0.000
2.447 1.413 3.996
ATOMIC_POSITIONS crystal
Ni 0.000 0.000 0.000
Pa 0.250 0.250 0.250
Pd 0.500 0.500 0.500
Y 0.750 0.750 0.750
```